Below is a geometry-optimized VSi2AsOs structure, with properties calculated at the PBE-GGA level.

Summary:
DOS(E_F): 6.54 states/eV/cell
Calculated total energy: -6.270 eV/atom
Symmetry: P4/mmm (123)

a b c (Å): 4.4666 5.4563 4.4666
angles (deg): 90.00 90.00 90.00
Last column: magnetic moment on the atom in μB.
Element x y z (fractional)
As (0.0000, 0.5000, 0.0000)  0.12
Os (0.0000, 0.0000, 0.0000)  -0.16
Si (0.0000, 0.0000, 0.5000)  -0.02
Si (0.5000, 0.0000, 0.0000)  -0.02
V (0.5000, 0.5000, 0.5000)  -2.88

=====

Below is a geometry-optimized ThAgCl6 structure, with properties calculated at the PBE-GGA level.

Summary:
DOS(E_F): 2.36 states/eV/cell
Calculated total energy: -4.075 eV/atom
Symmetry: P-1 (2)

a b c (Å): 6.4723 7.0313 7.5435
angles (deg): 58.32 62.45 60.61
Last column: magnetic moment on the atom in μB.
Element x y z (fractional)
Th (0.0000, 0.0000, 0.0000)  0.02
Ag (0.5000, 0.5000, 0.5000)  0.34
Cl (0.1037, 0.4172, 0.7471)  0.12
Cl (0.7414, 0.1143, 0.7339)  0.11
Cl (0.6106, 0.2272, 0.2311)  0.02
Cl (0.2586, 0.8857, 0.2661)  0.11
Cl (0.8963, 0.5828, 0.2529)  0.12
Cl (0.3894, 0.7728, 0.7689)  0.02

=====

Below is a geometry-optimized ReAgCl2 structure, with properties calculated at the PBE-GGA level.

Summary:
DOS(E_F): 2.11 states/eV/cell
Calculated total energy: -3.801 eV/atom
Symmetry: I-4m2 (119)

a b c (Å): 6.5347 6.5347 6.5347
angles (deg): 146.98 146.98 47.40
Last column: magnetic moment on the atom in μB.
Element x y z (fractional)
Re (0.5000, 0.5000, 0.0000)  3.01
Ag (0.7500, 0.2500, 0.5000)  0.02
Cl (0.0000, 0.0000, 0.0000)  0.06
Cl (0.2500, 0.7500, 0.5000)  0.07

=====

Below is a geometry-optimized Fe2HgIr structure, with properties calculated at the PBE-GGA level.

Summary:
DOS(E_F): 4.27 states/eV/cell
Symmetry: P4mm (99)
ΔH_f (0 K): 0.24 eV/atom

a b c (Å): 2.9966 2.9982 7.2974
angles (deg): 65.72 90.00 90.00
Last column: magnetic moment on the atom in μB.
Element x y z (fractional)
Fe (0.0000, 0.9896, 0.0103)  2.76
Fe (0.5000, 0.2909, 0.2087)  2.72
Hg (0.0000, 0.5127, 0.4874)  -0.02
Ir (0.5000, 0.7068, 0.7936)  0.54

=====

Below is a geometry-optimized FeCuAs2 structure, with properties calculated at the PBE-GGA level.

Summary:
DOS(E_F): 4.91 states/eV/cell
Symmetry: I-42d (122)
ΔH_f (0 K): 0.24 eV/atom

a b c (Å): 5.5339 5.5339 6.3863
angles (deg): 64.33 64.33 90.00
Element x y z (fractional)
As (0.5997, 0.1250, 0.2500)
As (0.1503, 0.6250, 0.2500)
As (0.3750, 0.4003, 0.7500)
As (0.8750, 0.8497, 0.7500)
Fe (0.5000, 0.5000, 0.0000)
Fe (0.2500, 0.7500, 0.5000)
Cu (0.0000, 0.0000, 0.0000)
Cu (0.7500, 0.2500, 0.5000)

=====

Below is a geometry-optimized LiSm5Ga3 structure, with properties calculated at the PBE-GGA level.

Summary:
DOS(E_F): 13.94 states/eV/cell
Symmetry: P6_3/mcm (193)
ΔH_f (0 K): -0.38 eV/atom

a b c (Å): 6.5833 9.0551 9.0541
angles (deg): 120.00 90.00 90.00
Element x y z (fractional)
Li (0.0000, 0.0000, 0.0000)
Li (0.5000, 0.0000, 0.0000)
Sm (0.0000, 0.6667, 0.3333)
Sm (0.5000, 0.3333, 0.6667)
Sm (0.0000, 0.3333, 0.6667)
Sm (0.5000, 0.6667, 0.3333)
Sm (0.7500, 0.6908, 0.6908)
Sm (0.7500, 0.0000, 0.3092)
Sm (0.7500, 0.3092, 0.0000)
Sm (0.2500, 0.3092, 0.3092)
Sm (0.2500, 0.0000, 0.6908)
Sm (0.2500, 0.6908, 0.0000)
Ga (0.7500, 0.3491, 0.3491)
Ga (0.7500, 0.0000, 0.6509)
Ga (0.7500, 0.6508, 0.0000)
Ga (0.2500, 0.6509, 0.6509)
Ga (0.2500, 0.0000, 0.3491)
Ga (0.2500, 0.3492, 0.0000)

=====

Below is a geometry-optimized Pm6AgSn2 structure, with properties calculated at the PBE-GGA level.

Summary:
DOS(E_F): 13.00 states/eV/cell
Symmetry: P-62m (189)
ΔH_f (0 K): -0.42 eV/atom

a b c (Å): 4.3622 8.5225 8.5232
angles (deg): 120.00 90.00 90.00
Last column: magnetic moment on the atom in μB.
Element x y z (fractional)
Pm (0.5000, 0.5907, 0.0000)  0.12
Pm (0.5000, 0.4092, 0.4092)  0.12
Pm (0.5000, 0.0000, 0.5908)  0.12
Pm (0.0000, 0.2584, 0.0000)  0.11
Pm (0.0000, 0.7418, 0.7419)  0.11
Pm (0.0000, 0.9999, 0.2581)  0.11
Ag (0.5000, 0.0000, 0.0000)  0.01
Sn (0.0000, 0.3333, 0.6666)  0.00
Sn (0.0000, 0.6667, 0.3334)  0.00

=====

Below is a geometry-optimized RbCuTe2Pb structure, with properties calculated at the PBE-GGA level.

Summary:
Calculated total energy: -3.476 eV/atom
Symmetry: P2/c (13)

a b c (Å): 5.3392 8.7649 8.7376
angles (deg): 109.57 90.00 90.00
Element x y z (fractional)
Rb (0.2331, 0.5000, 0.7500)
Rb (0.7669, 0.5000, 0.2500)
Cu (0.0000, 0.0000, 0.0000)
Cu (0.0000, 0.0000, 0.5000)
Te (0.7353, 0.7703, 0.9997)
Te (0.7353, 0.2297, 0.5003)
Te (0.2647, 0.7703, 0.4997)
Te (0.2647, 0.2297, 0.0003)
Pb (0.3712, 0.0000, 0.2500)
Pb (0.6288, 0.0000, 0.7500)

=====

Copy entry 2 word for word.
Below is a geometry-optimized ThAgCl6 structure, with properties calculated at the PBE-GGA level.

Summary:
DOS(E_F): 2.36 states/eV/cell
Calculated total energy: -4.075 eV/atom
Symmetry: P-1 (2)

a b c (Å): 6.4723 7.0313 7.5435
angles (deg): 58.32 62.45 60.61
Last column: magnetic moment on the atom in μB.
Element x y z (fractional)
Th (0.0000, 0.0000, 0.0000)  0.02
Ag (0.5000, 0.5000, 0.5000)  0.34
Cl (0.1037, 0.4172, 0.7471)  0.12
Cl (0.7414, 0.1143, 0.7339)  0.11
Cl (0.6106, 0.2272, 0.2311)  0.02
Cl (0.2586, 0.8857, 0.2661)  0.11
Cl (0.8963, 0.5828, 0.2529)  0.12
Cl (0.3894, 0.7728, 0.7689)  0.02

=====

Copy entry 1 word for word.
Below is a geometry-optimized VSi2AsOs structure, with properties calculated at the PBE-GGA level.

Summary:
DOS(E_F): 6.54 states/eV/cell
Calculated total energy: -6.270 eV/atom
Symmetry: P4/mmm (123)

a b c (Å): 4.4666 5.4563 4.4666
angles (deg): 90.00 90.00 90.00
Last column: magnetic moment on the atom in μB.
Element x y z (fractional)
As (0.0000, 0.5000, 0.0000)  0.12
Os (0.0000, 0.0000, 0.0000)  -0.16
Si (0.0000, 0.0000, 0.5000)  -0.02
Si (0.5000, 0.0000, 0.0000)  -0.02
V (0.5000, 0.5000, 0.5000)  -2.88